Entry 1:
A plane-wave DFT calculation with PBE-GGA was carried out for a geometry-optimized TlZnHg2Br structure.

a = 5.186 Å, b = 5.186 Å, c = 5.823 Å
α = 90.00°, β = 90.00°, γ = 90.00°
Fractional coordinates of all 5 atoms:
Br: 0.500 0.500 0.500
Tl: 0.000 0.000 0.500
Hg: 0.000 0.500 0.000
Hg: 0.500 0.000 0.000
Zn: 0.000 0.000 0.000

Properties
Uncorrected energy (eV/atom): -1.35
Energy relative to the elements, uncorrected (eV per atom): -0.164
Volume (Å³/atom): 31.3
Space group: No. 123

***

Entry 2:
A plane-wave DFT calculation with PBE-GGA was carried out for a geometry-optimized ZnFe2Br structure.

a = 8.143 Å, b = 8.143 Å, c = 8.143 Å
α = 21.34°, β = 21.34°, γ = 21.34°
Site moments in Bohr magnetons follow the coordinates.
Fractional coordinates of all 4 atoms:
Zn: 0.250 0.250 0.250  -0.07
Br: 0.750 0.750 0.750  0.18
Fe: 0.000 0.000 0.000  2.80
Fe: 0.500 0.500 0.500  2.80

Properties
Uncorrected energy (eV/atom): -4.48
Energy relative to the elements, uncorrected (eV per atom): 0.485
Volume (Å³/atom): 15.7
Space group: No. 166

***

Entry 3:
A plane-wave DFT calculation with PBE-GGA was carried out for a geometry-optimized Ho5In2Sn structure.

a = 8.283 Å, b = 8.283 Å, c = 8.790 Å
α = 118.11°, β = 118.11°, γ = 90.00°
Fractional coordinates of all 16 atoms:
In: 0.140 0.360 0.000
In: 0.640 0.140 0.000
In: 0.360 0.860 0.000
In: 0.860 0.640 0.000
Ho: 0.308 0.808 0.304
Ho: 0.692 0.192 0.696
Ho: 0.808 0.996 0.304
Ho: 0.192 0.004 0.696
Ho: 0.004 0.504 0.696
Ho: 0.496 0.308 0.304
Ho: 0.500 0.500 0.000
Ho: 0.000 0.000 0.000
Ho: 0.996 0.496 0.304
Ho: 0.504 0.692 0.696
Sn: 0.250 0.250 0.500
Sn: 0.750 0.750 0.500

Properties
Uncorrected energy (eV/atom): -4.51
Formation energy (meV per atom): -460
Volume (Å³/atom): 28.1
Space group: No. 140

***

Entry 4:
A plane-wave DFT calculation with PBE-GGA was carried out for a geometry-optimized SrLa2Sb structure.

a = 4.955 Å, b = 4.446 Å, c = 6.986 Å
α = 73.39°, β = 90.00°, γ = 90.00°
Fractional coordinates of all 4 atoms:
Sr: 0.500 0.742 0.668
Sb: 0.000 0.310 0.517
La: 0.500 0.427 0.227
La: 0.000 0.020 0.088

Properties
Uncorrected energy (eV/atom): -4.35
Energy relative to the elements, uncorrected (eV per atom): -0.434
Volume (Å³/atom): 36.9
Space group: No. 6

***

Entry 5:
A plane-wave DFT calculation with PBE-GGA was carried out for a geometry-optimized CsDyCdO3 structure.

a = 3.632 Å, b = 9.953 Å, c = 7.344 Å
α = 111.01°, β = 90.00°, γ = 90.00°
Fractional coordinates of all 12 atoms:
Cs: 0.750 0.690 0.648
Cs: 0.250 0.310 0.352
O: 0.250 0.228 0.944
O: 0.750 0.154 0.555
O: 0.750 0.772 0.056
O: 0.750 0.520 0.174
O: 0.250 0.846 0.445
O: 0.250 0.480 0.826
Dy: 0.250 0.651 0.123
Dy: 0.750 0.349 0.877
Cd: 0.250 0.054 0.679
Cd: 0.750 0.946 0.321

Properties
Uncorrected energy (eV/atom): -5.60
Energy relative to the elements, uncorrected (eV per atom): -2.056
Volume (Å³/atom): 20.7
Space group: No. 11

***

Entry 6:
A plane-wave DFT calculation with PBE-GGA was carried out for a geometry-optimized RbMnAg2 structure.

a = 5.487 Å, b = 5.487 Å, c = 9.947 Å
α = 73.99°, β = 73.99°, γ = 90.00°
Site moments in Bohr magnetons follow the coordinates.
Fractional coordinates of all 8 atoms:
Ag: 0.875 0.625 0.750  0.03
Ag: 0.375 0.625 0.250  0.02
Ag: 0.375 0.625 0.750  0.03
Ag: 0.375 0.125 0.250  0.02
Mn: 0.500 0.500 0.000  4.12
Mn: 0.250 0.750 0.500  4.12
Rb: 0.750 0.250 0.500  -0.01
Rb: 0.000 0.000 0.000  -0.01

Properties
Uncorrected energy (eV/atom): -3.43
Formation energy (meV per atom): 525
Volume (Å³/atom): 34.5
Space group: No. 141

***

Entry 7:
A plane-wave DFT calculation with PBE-GGA was carried out for a geometry-optimized BaSm2Ti3O10 structure.

a = 14.317 Å, b = 14.317 Å, c = 7.669 Å
α = 90.00°, β = 90.00°, γ = 164.30°
Fractional coordinates of all 32 atoms:
Sm: 0.580 0.420 0.250
Sm: 0.420 0.580 0.750
Sm: 0.573 0.427 0.750
Sm: 0.427 0.573 0.250
Ti: 0.145 0.855 0.995
Ti: 0.855 0.145 0.005
Ti: 0.855 0.145 0.495
Ti: 0.000 0.000 0.000
Ti: 0.145 0.855 0.505
Ti: 0.000 0.000 0.500
O: 0.629 0.371 0.992
O: 0.206 0.794 0.951
O: 0.500 0.500 0.000
O: 0.020 0.980 0.750
O: 0.500 0.500 0.500
O: 0.371 0.629 0.492
O: 0.794 0.206 0.451
O: 0.066 0.934 0.438
O: 0.629 0.371 0.508
O: 0.066 0.934 0.062
O: 0.934 0.066 0.938
O: 0.879 0.121 0.250
O: 0.371 0.629 0.008
O: 0.934 0.066 0.562
O: 0.148 0.852 0.250
O: 0.121 0.879 0.750
O: 0.206 0.794 0.549
O: 0.794 0.206 0.049
O: 0.980 0.020 0.250
O: 0.852 0.148 0.750
Ba: 0.744 0.256 0.750
Ba: 0.256 0.744 0.250

Properties
Uncorrected energy (eV/atom): -8.51
Energy relative to the elements, uncorrected (eV per atom): -3.220
Volume (Å³/atom): 13.3
Space group: No. 63

***

Entry 8:
A plane-wave DFT calculation with PBE-GGA was carried out for a geometry-optimized TbTm3Pt12 structure.

a = 4.107 Å, b = 4.107 Å, c = 16.363 Å
α = 90.00°, β = 90.00°, γ = 90.00°
Fractional coordinates of all 16 atoms:
Tb: 0.000 0.000 0.000
Pt: 0.500 0.000 0.127
Pt: 0.500 0.500 0.749
Pt: 0.000 0.500 0.127
Pt: 0.500 0.500 0.000
Pt: 0.500 0.000 0.624
Pt: 0.500 0.500 0.500
Pt: 0.500 0.000 0.376
Pt: 0.500 0.500 0.251
Pt: 0.000 0.500 0.624
Pt: 0.000 0.500 0.873
Pt: 0.500 0.000 0.873
Pt: 0.000 0.500 0.376
Tm: 0.000 0.000 0.500
Tm: 0.000 0.000 0.251
Tm: 0.000 0.000 0.749

Properties
Uncorrected energy (eV/atom): -6.73
Formation energy (meV per atom): -1069
Volume (Å³/atom): 17.2
Space group: No. 123

***

Entry 9:
A plane-wave DFT calculation with PBE-GGA was carried out for a geometry-optimized LiZn3Ni structure.

a = 4.576 Å, b = 4.576 Å, c = 4.576 Å
α = 90.00°, β = 90.00°, γ = 90.00°
Fractional coordinates of all 5 atoms:
Zn: 0.000 0.000 0.500
Zn: 0.000 0.500 0.000
Zn: 0.500 0.000 0.000
Ni: 0.000 0.000 0.000
Li: 0.500 0.500 0.500

Properties
Uncorrected energy (eV/atom): -2.26
Formation energy (meV per atom): 40
Volume (Å³/atom): 19.2
Space group: No. 221

***

Entry 10:
A plane-wave DFT calculation with PBE-GGA was carried out for a geometry-optimized LaZn2Cu structure.

a = 3.219 Å, b = 3.220 Å, c = 7.353 Å
α = 90.00°, β = 90.00°, γ = 90.00°
Fractional coordinates of all 4 atoms:
La: 0.500 0.500 0.736
Cu: 0.000 0.000 0.437
Zn: 0.000 0.000 0.057
Zn: 0.500 0.500 0.270

Properties
Uncorrected energy (eV/atom): -2.98
Formation energy (meV per atom): -83
Volume (Å³/atom): 19.1
Space group: No. 99

***

Entry 11:
A plane-wave DFT calculation with PBE-GGA was carried out for a geometry-optimized Pm4DyTm10 structure.

a = 7.886 Å, b = 8.825 Å, c = 8.825 Å
α = 78.48°, β = 63.46°, γ = 63.46°
Fractional coordinates of all 15 atoms:
Pm: 0.228 0.000 0.544
Pm: 0.228 0.544 0.000
Pm: 0.772 0.000 0.456
Pm: 0.772 0.456 0.000
Tm: 0.750 0.500 0.500
Tm: 0.914 0.792 0.792
Tm: 0.086 0.208 0.208
Tm: 0.706 0.792 0.208
Tm: 0.294 0.792 0.208
Tm: 0.502 0.792 0.792
Tm: 0.498 0.208 0.208
Tm: 0.250 0.500 0.500
Tm: 0.706 0.208 0.792
Tm: 0.294 0.208 0.792
Dy: 0.000 0.000 0.000

Properties
Uncorrected energy (eV/atom): -4.28
Formation energy (meV per atom): 278
Volume (Å³/atom): 32.8
Space group: No. 139